Entry 1:
Material: MnTl3Te3
Method: DFT, PBE
State: relaxed

Summary:
Excess energy over the best structure of this formula in the dataset, meV per atom: 0
Raw total energy, eV/atom: -3.8901
M_tot, μB per atom: 0.571
Formation energy without anion corrections, eV/f.u.: -1.5

Cell: 8.551 13.210 11.035 Å, 90.00 129.42 90.00°
Space group P2_1/c (No. 14)
Inequivalent atoms, fractional coordinates:
Mn 0.063 0.066 0.410 [4 per cell]
Tl 0.068 0.672 0.645 [4 per cell]
Tl 0.385 0.139 0.871 [4 per cell]
Tl 0.390 0.075 0.275 [4 per cell]
Te 0.117 0.630 0.976 [4 per cell]
Te 0.142 0.560 0.394 [4 per cell]
Te 0.418 0.159 0.577 [4 per cell]

=====

Entry 2:
Material: Ba2ErSbS6
Method: DFT, PBE
State: relaxed

Summary:
Raw total energy, eV/atom: -5.0991
M_tot, μB per atom: 0.000
Formation energy without anion corrections, eV/f.u.: -13.7

Cell: 7.156 7.255 12.439 Å, 90.00 124.93 90.00°
Space group P2_1/c (No. 14)
Inequivalent atoms, fractional coordinates:
Ba 0.235 0.061 0.249 [4 per cell]
Er 0.500 0.000 0.000 [2 per cell]
Sb 0.000 0.000 0.500 [2 per cell]
S 0.159 0.211 0.962 [4 per cell]
S 0.244 0.698 0.957 [4 per cell]
S 0.320 0.002 0.743 [4 per cell]

=====

Entry 3:
Material: LaTb2HoSb4
Method: DFT, PBE
State: relaxed

Summary:
Raw total energy, eV/atom: -5.5633
M_tot, μB per atom: 0.000
Formation energy without anion corrections, eV/f.u.: -9.3

Cell: 6.301 6.301 12.584 Å, 90.00 90.00 90.00°
Space group I4/mmm (No. 139)
Inequivalent atoms, fractional coordinates:
La 0.000 0.000 0.000 [2 per cell]
Tb 0.000 0.500 0.250 [4 per cell]
Ho 0.000 0.000 0.500 [2 per cell]
Sb 0.000 0.000 0.255 [4 per cell]
Sb 0.000 0.500 0.000 [4 per cell]

=====

Entry 4:
Material: DyEr3Pu3Se8
Method: DFT, PBE
State: relaxed

Summary:
Raw total energy, eV/atom: -7.6670
M_tot, μB per atom: 1.161
Formation energy without anion corrections, eV/f.u.: -25.8

Cell: 8.1517 8.1517 20.1199 Å, 90.00 90.00 120.00°
Space group R-3m (No. 166, hexagonal axes)
Inequivalent atoms, fractional coordinates:
Dy 0.0000 0.0000 0.0000 [3 per cell]
Er 0.0000 0.5000 0.0000 [9 per cell]
Pu 0.0000 0.5000 0.5000 [9 per cell]
Se 0.0000 0.0000 0.2524 [6 per cell]
Se 0.0066 0.5033 0.2517 [18 per cell]

=====

Entry 5:
Material: RbNa2OsO6
Method: DFT, PBE
State: relaxed

Summary:
Raw total energy, eV/atom: -5.6325
M_tot, μB per atom: 0.105
Formation energy without anion corrections, eV/f.u.: -11.7

Cell: 5.966 6.255 10.406 Å, 90.00 123.87 90.00°
Space group P2_1/c (No. 14)
Inequivalent atoms, fractional coordinates:
Rb 0.000 0.000 0.000 [2 per cell]
Na 0.241 0.018 0.717 [4 per cell]
Os 0.500 0.000 0.500 [2 per cell]
O 0.190 0.115 0.474 [4 per cell]
O 0.302 0.738 0.885 [4 per cell]
O 0.422 0.138 0.319 [4 per cell]

=====

Entry 6:
Material: TaSi2Br
Method: DFT, PBE
State: relaxed

Summary:
Excess energy over the best structure of this formula in the dataset, meV per atom: 462
Raw total energy, eV/atom: -5.6114
M_tot, μB per atom: 0.000
Formation energy without anion corrections, eV/f.u.: 1.9

Cell: 8.083 5.977 2.958 Å, 90.00 100.35 90.00°
Space group C2/m (No. 12)
Inequivalent atoms, fractional coordinates:
Ta 0.000 0.000 0.000 [2 per cell]
Si 0.250 0.250 0.500 [4 per cell]
Br 0.000 0.500 0.000 [2 per cell]